No. 1
A crystal of BaY3Ti relaxed with PBEsol. Source: Alexandria via LeMat-Bulk, functional SCAN.

Cell lengths 5.555, 5.555, 5.555 Å; angles 90.00, 90.00, 90.00 degrees
Fractional coordinates of all 5 atoms:
Y 0.000 0.500 0.000
Y 0.000 0.000 0.500
Y 0.500 0.000 0.000
Ba 0.500 0.500 0.500
Ti 0.000 0.000 0.000

The value obtained for the magnetic moment is 1.292 μB/f.u. The symmetry is No. 221. The total DFT energy (no corrections) is -27.4485 eV per atom.

***

No. 2
A crystal of BaYTi3 relaxed with PBEsol. Source: Alexandria via LeMat-Bulk, functional SCAN.

Cell lengths 4.992, 4.992, 4.992 Å; angles 90.00, 90.00, 90.00 degrees
Fractional coordinates of all 5 atoms:
Y 0.500 0.500 0.500
Ba 0.000 0.000 0.000
Ti 0.000 0.500 0.000
Ti 0.000 0.000 0.500
Ti 0.500 0.000 0.000

The value obtained for the magnetic moment is 1.704 μB/f.u. The symmetry is No. 221. The total DFT energy (no corrections) is -21.6872 eV per atom.

***

No. 3
A crystal of BaTiZn3 relaxed with PBEsol. Source: Alexandria via LeMat-Bulk, functional SCAN.

Cell lengths 5.056, 5.056, 5.056 Å; angles 90.00, 90.00, 90.00 degrees
Fractional coordinates of all 5 atoms:
Zn 0.000 0.500 0.000
Zn 0.000 0.000 0.500
Zn 0.500 0.000 0.000
Ba 0.500 0.500 0.500
Ti 0.000 0.000 0.000

The value obtained for the magnetic moment is 3.339 μB/f.u. The symmetry is No. 221. The total DFT energy (no corrections) is -19.0667 eV per atom.

***

No. 4
A crystal of BaZr3Ti relaxed with PBEsol. Source: Alexandria via LeMat-Bulk, functional SCAN.

Cell lengths 5.180, 5.180, 5.180 Å; angles 90.00, 90.00, 90.00 degrees
Fractional coordinates of all 5 atoms:
Ba 0.000 0.000 0.000
Zr 0.000 0.500 0.000
Zr 0.000 0.000 0.500
Zr 0.500 0.000 0.000
Ti 0.500 0.500 0.500

The value obtained for the magnetic moment is 2.068 μB/f.u. The symmetry is No. 221. The total DFT energy (no corrections) is -27.7078 eV per atom.